(1)
Material: Li2SmCd
Method: DFT, GGA-PBE
State: optimized geometry

The structure belongs to space group R3m (No. 160, hexagonal axes); the cell edges are 3.3445, 3.3445 and 30.1587 Å and the angles 90.00°, 90.00° and 120.00°. The inequivalent atoms are Li at (0.0000, 0.0000, 0.0000), Li at (0.0000, 0.0000, 0.1869), Sm at (0.0000, 0.0000, 0.7604) and Cd at (0.0000, 0.0000, 0.5935).

The value obtained for the total energy is -28.18 eV/cell. The calculation puts the formation energy at 0.02 eV/atom. The calculation puts the density of states at the Fermi level at 2.30 states/eV/f.u. For the distance to the lowest polymorph of the same formula, the calculation gives 0.109 eV/atom.

***

(2)
Material: Rb3MnCr
Method: DFT, GGA-PBE
State: optimized geometry

The structure belongs to space group Pm-3m (No. 221); the cell edges are 6.961, 6.961 and 6.961 Å and the angles 90.00°, 90.00° and 90.00°. The inequivalent atoms are Rb at (0.000, 0.000, 0.500), Mn at (0.500, 0.500, 0.500) and Cr at (0.000, 0.000, 0.000).

The value obtained for the total energy is -15.70 eV/cell. The calculation puts the formation energy at 1.20 eV/atom. The calculation puts the density of states at the Fermi level at 11.47 states/eV/f.u.

***

(3)
Material: Fe2TeCl
Method: DFT, GGA-PBE
State: optimized geometry

The structure belongs to space group Pmmm (No. 47); the cell edges are 3.328, 3.750 and 6.377 Å and the angles 90.00°, 90.00° and 90.00°. The inequivalent atoms are Fe at (0.000, 0.000, 0.189), Te at (0.500, 0.500, 0.000) and Cl at (0.500, 0.000, 0.500).

The value obtained for the total energy is -21.37 eV/cell. The formation energy without anion corrections comes out at 0.135 eV per atom. The calculation puts the density of states at the Fermi level at 3.56 states/eV/f.u. For the distance to the lowest polymorph of the same formula, the calculation gives 0.292 eV/atom.

***

(4)
Material: NdPuHgO6
Method: DFT, GGA-PBE
State: optimized geometry

The structure belongs to space group P-31c (No. 163); the cell edges are 5.6789, 5.6789 and 10.1964 Å and the angles 90.00°, 90.00° and 120.00°. The inequivalent atoms are Nd at (0.0000, 0.0000, 0.0000), Pu at (0.3333, 0.6667, 0.2500), Hg at (0.3333, 0.6667, 0.7500) and O at (0.0498, 0.3690, 0.1344).

The value obtained for the total energy is -136.02 eV/cell. The formation energy without anion corrections comes out at -2.095 eV per atom.